# 1
A plane-wave DFT calculation with GGA-PBE was carried out for crystalline PrHoS2O at its relaxed geometry.

```
PrHoS2O
1.0
-3.506 -1.804 -0.314
1.244 -2.844 2.451
-4.754 7.333 10.924
S Ho Pr O
4 2 2 2
Cartesian
-2.717 3.729 8.899 S
-3.168 1.280 3.094 S
0.194 -0.762 2.208 S
-6.079 5.771 9.784 S
-3.561 5.032 10.839 Ho
-2.323 -0.022 1.153 Ho
-1.326 1.584 5.703 Pr
-4.558 3.425 6.289 Pr
-2.377 3.667 5.462 O
-3.508 1.343 6.530 O
```

Results
Uncorrected formation energy in meV/atom: -2477
Crystal system: tetragonal
Energy in eV per atom: -6.99

=====

# 2
A plane-wave DFT calculation with GGA-PBE was carried out for crystalline PrHoSbO2 at its relaxed geometry.

```
PrHoSbO2
1.0
-3.915 -0.331 -0.077
0.305 -3.817 0.887
1.546 3.597 6.239
O Sb Pr Ho
2 1 1 1
Cartesian
0.026 -1.164 3.692 O
-2.084 0.579 3.211 O
-1.808 -2.059 0.471 Sb
-1.981 -1.043 4.903 Pr
-0.087 0.510 2.227 Ho
```

Results
Uncorrected formation energy in meV/atom: -2632
Crystal system: tetragonal
Energy in eV per atom: -7.31

=====

# 3
A plane-wave DFT calculation with GGA-PBE was carried out for crystalline PrHoSb2O8 at its relaxed geometry.

```
PrHoSb2O8
1.0
5.333 0.000 0.000
0.000 5.333 0.000
-2.666 -2.666 5.711
Ho O Pr Sb
1 8 1 2
Cartesian
0.000 0.000 0.000 Ho
1.338 -0.982 4.739 O
-1.338 0.982 4.739 O
1.349 1.763 3.888 O
1.684 1.328 0.972 O
-1.349 -1.763 3.888 O
4.429 1.318 1.823 O
3.648 4.004 0.972 O
0.904 4.015 1.823 O
2.666 0.000 2.856 Pr
0.000 2.666 2.856 Sb
2.666 2.666 0.000 Sb
```

Results
Uncorrected formation energy in meV/atom: -2305
Crystal system: tetragonal
Energy in eV per atom: -7.08

=====

# 4
A plane-wave DFT calculation with GGA-PBE was carried out for crystalline PrHo2SbO8 at its relaxed geometry.

```
PrHo2SbO8
1.0
4.148 -0.164 -0.002
-0.143 5.244 -0.006
0.004 0.008 7.398
Pr O Ho Sb
1 8 2 1
Cartesian
0.002 0.004 3.699 Pr
0.124 3.951 5.830 O
2.299 4.016 7.393 O
1.992 3.794 3.694 O
3.886 1.136 1.561 O
2.018 1.293 3.697 O
1.710 1.071 -0.002 O
0.121 3.946 1.560 O
3.888 1.141 5.831 O
2.006 2.546 5.607 Ho
2.003 2.542 1.784 Ho
0.000 0.000 0.000 Sb
```

Results
Uncorrected formation energy in meV/atom: -2449
Crystal system: monoclinic
Energy in eV per atom: -7.26

=====

# 5
A plane-wave DFT calculation with GGA-PBE was carried out for crystalline PrHoSe2O at its relaxed geometry.

```
PrHoSe2O
1.0
4.062 0.000 0.000
0.000 4.062 0.000
0.000 0.000 14.593
Ho Se O Pr
2 4 2 2
Cartesian
0.000 2.031 12.810 Ho
2.031 0.000 1.783 Ho
0.000 2.031 1.300 Se
2.031 0.000 4.398 Se
0.000 2.031 10.194 Se
2.031 0.000 13.293 Se
0.000 0.000 7.296 O
2.031 2.031 7.296 O
2.031 0.000 8.511 Pr
0.000 2.031 6.081 Pr
```

Results
Uncorrected formation energy in meV/atom: -2370
Crystal system: tetragonal
Energy in eV per atom: -6.63

=====

# 6
A plane-wave DFT calculation with GGA-PBE was carried out for crystalline PrHoSeO2 at its relaxed geometry.

```
PrHoSeO2
1.0
4.103 0.000 0.000
0.000 6.643 -0.438
0.000 -1.964 7.519
O Pr Ho Se
4 2 2 2
Cartesian
3.077 1.714 6.311 O
1.026 2.005 4.380 O
3.077 2.674 2.701 O
1.026 2.965 0.770 O
3.077 1.910 0.399 Pr
1.026 2.770 6.682 Pr
1.026 3.623 2.870 Ho
3.077 1.056 4.211 Ho
3.077 5.847 1.452 Se
1.026 -1.168 5.629 Se
```

Results
Uncorrected formation energy in meV/atom: -3040
Crystal system: monoclinic
Energy in eV per atom: -7.59